No. 1
The following is a DFT calculation (PBE) of crystalline Ac2BeP3Ir4 at its relaxed geometry.

Crystal system = tetragonal
ΔE_f = -0.8342 eV per atom
Total energy = -7.20 eV/atom
SG = P-4m2

```
data_Ac2BeP3Ir4
_chemical_formula_sum 'Ac2 Be1 P3 Ir4'
_cell_length_a 4.202
_cell_length_b 4.202
_cell_length_c 9.970
_cell_angle_alpha 90.00
_cell_angle_beta 90.00
_cell_angle_gamma 90.00
_symmetry_space_group_name_H-M 'P 1'
_symmetry_Int_Tables_number 1
loop_
_symmetry_equiv_pos_as_xyz
'x,y,z'
loop_
_atom_site_label
_atom_site_fract_x
_atom_site_fract_y
_atom_site_fract_z
Ac1 0.000 0.500 0.240
Ac2 0.500 0.000 0.760
Be1 0.500 0.500 0.000
P1 0.000 0.000 0.000
P2 0.000 0.500 0.637
P3 0.500 0.000 0.363
Ir1 0.000 0.000 0.500
Ir2 0.000 0.500 0.884
Ir3 0.500 0.000 0.116
Ir4 0.500 0.500 0.500
```

---

No. 2
The following is a DFT calculation (PBE) of crystalline Pr3SmTl3 at its relaxed geometry.

Crystal system = cubic
ΔE_f = -0.2878 eV per atom
Total energy = -4.02 eV/atom
SG = P2_13
Excess energy over the best structure of this formula in the dataset = 0.00 eV per formula unit

```
data_Pr3SmTl3
_chemical_formula_sum 'Pr12 Sm4 Tl12'
_cell_length_a 9.655
_cell_length_b 9.655
_cell_length_c 9.655
_cell_angle_alpha 90.00
_cell_angle_beta 90.00
_cell_angle_gamma 90.00
_symmetry_space_group_name_H-M 'P 1'
_symmetry_Int_Tables_number 1
loop_
_symmetry_equiv_pos_as_xyz
'x,y,z'
loop_
_atom_site_label
_atom_site_fract_x
_atom_site_fract_y
_atom_site_fract_z
Pr1 0.072 0.428 0.572
Pr2 0.175 0.825 0.325
Pr3 0.176 0.176 0.176
Pr4 0.324 0.824 0.676
Pr5 0.325 0.175 0.825
Pr6 0.428 0.572 0.072
Pr7 0.572 0.072 0.428
Pr8 0.675 0.675 0.675
Pr9 0.676 0.324 0.824
Pr10 0.824 0.676 0.324
Pr11 0.825 0.325 0.175
Pr12 0.928 0.928 0.928
Sm1 0.074 0.574 0.926
Sm2 0.426 0.426 0.426
Sm3 0.574 0.926 0.074
Sm4 0.926 0.074 0.574
Tl1 0.001 0.252 0.871
Tl2 0.129 0.501 0.248
Tl3 0.248 0.129 0.501
Tl4 0.252 0.871 0.001
Tl5 0.371 0.499 0.748
Tl6 0.499 0.748 0.371
Tl7 0.501 0.248 0.129
Tl8 0.629 0.999 0.752
Tl9 0.748 0.371 0.499
Tl10 0.752 0.629 0.999
Tl11 0.871 0.001 0.252
Tl12 0.999 0.752 0.629
```

---

No. 3
The following is a DFT calculation (PBE) of crystalline Pm6Si2ICl3 at its relaxed geometry.

Crystal system = monoclinic
Total energy = -5.00 eV/atom
SG = C2/m
Formation energy without anion corrections = -13.59 eV per formula unit

```
data_Pm6Si2ICl3
_chemical_formula_sum 'Pm6 Si2 I1 Cl3'
_cell_length_a 9.253
_cell_length_b 9.253
_cell_length_c 8.444
_cell_angle_alpha 97.59
_cell_angle_beta 97.59
_cell_angle_gamma 26.68
_symmetry_space_group_name_H-M 'P 1'
_symmetry_Int_Tables_number 1
loop_
_symmetry_equiv_pos_as_xyz
'x,y,z'
loop_
_atom_site_label
_atom_site_fract_x
_atom_site_fract_y
_atom_site_fract_z
Pm1 0.014 0.014 0.295
Pm2 0.315 0.315 0.879
Pm3 0.332 0.332 0.427
Pm4 0.668 0.668 0.573
Pm5 0.685 0.685 0.121
Pm6 0.986 0.986 0.705
Si1 0.172 0.172 0.338
Si2 0.828 0.828 0.662
I1 0.500 0.500 0.000
Cl1 0.153 0.153 0.837
Cl2 0.500 0.500 0.500
Cl3 0.847 0.847 0.163
```

---

No. 4
The following is a DFT calculation (PBE) of crystalline TaVGa at its relaxed geometry.

Crystal system = orthorhombic
ΔE_f = -0.0030 eV per atom
Total energy = -8.00 eV/atom
SG = Cmmm
Excess energy over the best structure of this formula in the dataset = 0.64 eV per formula unit

```
data_TaVGa
_chemical_formula_sum 'Ta4 V4 Ga4'
_cell_length_a 5.028
_cell_length_b 13.495
_cell_length_c 2.882
_cell_angle_alpha 90.00
_cell_angle_beta 90.00
_cell_angle_gamma 90.00
_symmetry_space_group_name_H-M 'P 1'
_symmetry_Int_Tables_number 1
loop_
_symmetry_equiv_pos_as_xyz
'x,y,z'
loop_
_atom_site_label
_atom_site_fract_x
_atom_site_fract_y
_atom_site_fract_z
Ta1 0.000 0.161 0.000
Ta2 0.000 0.839 0.000
Ta3 0.500 0.339 0.000
Ta4 0.500 0.661 0.000
V1 0.000 0.329 0.500
V2 0.000 0.671 0.500
V3 0.500 0.171 0.500
V4 0.500 0.829 0.500
Ga1 0.248 0.500 0.500
Ga2 0.252 0.000 0.500
Ga3 0.748 0.000 0.500
Ga4 0.752 0.500 0.500
```

---

No. 5
The following is a DFT calculation (PBE) of crystalline BiSb2Te at its relaxed geometry.

Crystal system = trigonal
Total energy = -3.77 eV/atom
SG = R-3m
Formation energy without anion corrections = 0.18 eV per formula unit
Excess energy over the best structure of this formula in the dataset = 0.00 eV per formula unit

```
data_BiSb2Te
_chemical_formula_sum 'Bi3 Sb6 Te3'
_cell_length_a 4.521
_cell_length_b 4.521
_cell_length_c 21.797
_cell_angle_alpha 90.00
_cell_angle_beta 90.00
_cell_angle_gamma 120.00
_symmetry_space_group_name_H-M 'P 1'
_symmetry_Int_Tables_number 1
loop_
_symmetry_equiv_pos_as_xyz
'x,y,z'
loop_
_atom_site_label
_atom_site_fract_x
_atom_site_fract_y
_atom_site_fract_z
Bi1 0.000 0.000 0.000
Bi2 0.333 0.667 0.667
Bi3 0.667 0.333 0.333
Sb1 0.000 0.000 0.250
Sb2 0.000 0.000 0.750
Sb3 0.333 0.667 0.417
Sb4 0.333 0.667 0.916
Sb5 0.667 0.333 0.084
Sb6 0.667 0.333 0.583
Te1 0.000 0.000 0.500
Te2 0.333 0.667 0.167
Te3 0.667 0.333 0.833
```

---

| no. | total magnetization (Bohr magnetons per cell) |
| --- | --- |
| 1 | 0.00 |
| 2 | 0.00 |
| 3 | 0.00 |
| 4 | 0.00 |
| 5 | 0.00 |